First-principles (PBE) data for AsP2Pt after structural relaxation, as listed in Alexandria.

Lattice parameters (Å, degrees): 3.402 3.402 5.777 90.00 90.00 90.00
Atoms (fractional coordinates):
1 As 0.500 0.500 0.750
2 P 0.000 0.000 0.056
3 P 0.000 0.000 0.444
4 Pt 0.500 0.500 0.250

## Properties
The value obtained for the final energy is -20.3 eV for the cell shown. The size of the total moment comes out at 0.000 μB per formula unit.

=====

First-principles (PBE) data for AsPPt2 after structural relaxation, as listed in Alexandria.

Lattice parameters (Å, degrees): 3.114 3.114 7.625 90.00 90.00 90.00
Atoms (fractional coordinates):
1 As 0.000 0.000 0.428
2 P 0.500 0.500 0.838
3 Pt 0.000 0.000 0.980
4 Pt 0.500 0.500 0.254

## Properties
The relative energy among the computed polymorphs comes out at 252 meV per atom. The value obtained for the final energy is -22.5 eV for the cell shown. The size of the total moment comes out at 0.000 μB per formula unit.

=====

First-principles (PBE) data for AsPPt2 after structural relaxation, as listed in Alexandria.

Lattice parameters (Å, degrees): 3.086 3.082 6.704 90.00 90.00 90.00
Atoms (fractional coordinates):
1 As 0.500 0.500 0.250
2 P 0.500 0.500 0.750
3 Pt 0.000 0.000 0.969
4 Pt 0.000 0.000 0.531

## Properties
The relative energy among the computed polymorphs comes out at 355 meV per atom. The value obtained for the final energy is -22.1 eV for the cell shown. The size of the total moment comes out at 0.000 μB per formula unit.

=====

First-principles (PBE) data for AsPPt2 after structural relaxation, as listed in Alexandria.

Lattice parameters (Å, degrees): 5.137 5.137 5.137 143.45 125.71 67.23
Atoms (fractional coordinates):
1 As 0.499 0.499 0.000
2 P 0.233 0.733 0.500
3 Pt 0.027 0.027 0.000
4 Pt 0.740 0.240 0.500

## Properties
The relative energy among the computed polymorphs comes out at 366 meV per atom. The value obtained for the final energy is -22.0 eV for the cell shown. The size of the total moment comes out at 0.000 μB per formula unit.

=====

First-principles (PBE) data for AsP2Pt after structural relaxation, as listed in Alexandria.

Lattice parameters (Å, degrees): 4.389 4.389 4.371 70.02 70.02 108.78
Atoms (fractional coordinates):
1 As 0.000 0.500 0.500
2 P 0.000 0.000 0.000
3 P 0.500 0.500 0.000
4 Pt 0.500 0.000 0.500

## Properties
The value obtained for the final energy is -21.8 eV for the cell shown. The size of the total moment comes out at 0.000 μB per formula unit.

=====

First-principles (PBE) data for AsP2Pt2 after structural relaxation, as listed in Alexandria.

Lattice parameters (Å, degrees): 4.380 4.380 5.401 66.08 66.08 90.00
Atoms (fractional coordinates):
1 P 0.371 0.371 0.257
2 P 0.629 0.629 0.743
3 As 0.000 0.000 0.000
4 Pt 0.750 0.250 0.500
5 Pt 0.250 0.750 0.500

## Properties
The relative energy among the computed polymorphs comes out at 0 meV per atom. The value obtained for the final energy is -27.3 eV for the cell shown. The size of the total moment comes out at 0.000 μB per formula unit.

=====

First-principles (PBE) data for AsPPt after structural relaxation, as listed in Alexandria.

Lattice parameters (Å, degrees): 4.209 4.209 4.209 60.00 60.00 60.00
Atoms (fractional coordinates):
1 As 0.500 0.500 0.500
2 P 0.750 0.750 0.750
3 Pt 0.000 0.000 0.000

## Properties
The relative energy among the computed polymorphs comes out at 767 meV per atom. The value obtained for the final energy is -15.6 eV for the cell shown. The size of the total moment comes out at 0.000 μB per formula unit.

=====

First-principles (PBE) data for AsPPt after structural relaxation, as listed in Alexandria.

Lattice parameters (Å, degrees): 4.257 4.257 4.257 60.00 60.00 60.00
Atoms (fractional coordinates):
1 As 0.000 0.000 0.000
2 P 0.500 0.500 0.500
3 Pt 0.750 0.750 0.750

## Properties
The relative energy among the computed polymorphs comes out at 429 meV per atom. The value obtained for the final energy is -16.6 eV for the cell shown. The size of the total moment comes out at 0.000 μB per formula unit.

=====

First-principles (PBE) data for AsP2Pt after structural relaxation, as listed in Alexandria.

Lattice parameters (Å, degrees): 3.947 3.947 6.037 83.90 83.90 52.46
Atoms (fractional coordinates):
1 As 0.264 0.264 0.260
2 P 0.912 0.912 0.018
3 P 0.813 0.813 0.690
4 Pt 0.511 0.511 0.533

## Properties
The value obtained for the final energy is -21.9 eV for the cell shown. The size of the total moment comes out at 0.000 μB per formula unit.

=====

First-principles (PBE) data for AsPPt2 after structural relaxation, as listed in Alexandria.

Lattice parameters (Å, degrees): 5.106 5.106 5.106 136.02 136.02 63.95
Atoms (fractional coordinates):
1 As 0.500 0.500 0.000
2 P 0.750 0.250 0.500
3 Pt 0.000 0.000 0.000
4 Pt 0.250 0.750 0.500

## Properties
The relative energy among the computed polymorphs comes out at 460 meV per atom. The value obtained for the final energy is -21.7 eV for the cell shown. The size of the total moment comes out at 0.000 μB per formula unit.

=====

First-principles (PBE) data for AsPPt2 after structural relaxation, as listed in Alexandria.

Lattice parameters (Å, degrees): 5.340 5.340 5.340 148.92 124.52 64.97
Atoms (fractional coordinates):
1 As 0.750 0.250 0.500
2 P 0.250 0.750 0.500
3 Pt 0.015 0.015 0.000
4 Pt 0.485 0.485 0.000

## Properties
The relative energy among the computed polymorphs comes out at 506 meV per atom. The value obtained for the final energy is -21.5 eV for the cell shown. The size of the total moment comes out at 0.000 μB per formula unit.

=====

First-principles (PBE) data for AsPPt2 after structural relaxation, as listed in Alexandria.

Lattice parameters (Å, degrees): 2.899 2.899 8.936 90.00 90.00 120.96
Atoms (fractional coordinates):
1 As 0.500 0.500 0.250
2 P 0.500 0.500 0.750
3 Pt 0.000 0.000 0.981
4 Pt 0.000 0.000 0.519

## Properties
The relative energy among the computed polymorphs comes out at 509 meV per atom. The value obtained for the final energy is -21.5 eV for the cell shown. The size of the total moment comes out at 0.000 μB per formula unit.

=====

First-principles (PBE) data for AsPPt2 after structural relaxation, as listed in Alexandria.

Lattice parameters (Å, degrees): 4.508 4.508 4.508 60.00 60.00 60.00
Atoms (fractional coordinates):
1 As 0.500 0.500 0.500
2 P 0.250 0.250 0.250
3 Pt 0.000 0.000 0.000
4 Pt 0.750 0.750 0.750

## Properties
The relative energy among the computed polymorphs comes out at 674 meV per atom. The value obtained for the final energy is -20.8 eV for the cell shown. The size of the total moment comes out at 0.000 μB per formula unit.

=====

First-principles (PBE) data for AsPPt2 after structural relaxation, as listed in Alexandria.

Lattice parameters (Å, degrees): 4.415 4.415 3.250 90.00 90.00 90.00
Atoms (fractional coordinates):
1 As 0.500 0.000 0.500
2 P 0.000 0.500 0.500
3 Pt 0.000 0.000 0.000
4 Pt 0.500 0.500 0.000

## Properties
The relative energy among the computed polymorphs comes out at 388 meV per atom. The value obtained for the final energy is -21.9 eV for the cell shown. The size of the total moment comes out at 0.000 μB per formula unit.

=====

First-principles (PBE) data for AsP2Pt after structural relaxation, as listed in Alexandria.

Lattice parameters (Å, degrees): 6.050 6.050 6.050 143.70 146.43 50.28
Atoms (fractional coordinates):
1 As 0.668 0.168 0.500
2 P 0.988 0.988 0.000
3 P 0.343 0.843 0.500
4 Pt 0.501 0.501 0.000

## Properties
The value obtained for the final energy is -20.9 eV for the cell shown. The size of the total moment comes out at 0.000 μB per formula unit.

=====

First-principles (PBE) data for AsPPt2 after structural relaxation, as listed in Alexandria.

Lattice parameters (Å, degrees): 3.603 3.603 6.364 73.61 73.61 59.67
Atoms (fractional coordinates):
1 As 0.750 0.750 0.750
2 P 0.250 0.250 0.250
3 Pt 0.989 0.989 0.032
4 Pt 0.511 0.511 0.468

## Properties
The relative energy among the computed polymorphs comes out at 149 meV per atom. The value obtained for the final energy is -22.9 eV for the cell shown. The size of the total moment comes out at 0.000 μB per formula unit.

=====

First-principles (PBE) data for AsP2Pt after structural relaxation, as listed in Alexandria.

Lattice parameters (Å, degrees): 3.415 4.525 4.573 68.14 90.00 90.00
Atoms (fractional coordinates):
1 As 0.500 0.723 0.755
2 P 0.000 0.022 0.025
3 P 0.500 0.265 0.226
4 Pt 0.000 0.491 0.494

## Properties
The value obtained for the final energy is -21.9 eV for the cell shown. The size of the total moment comes out at 0.000 μB per formula unit.

=====

First-principles (PBE) data for AsPPt after structural relaxation, as listed in Alexandria.

Lattice parameters (Å, degrees): 5.905 5.905 5.905 90.00 90.00 90.00
Atoms (fractional coordinates):
1 As 0.114 0.886 0.386
2 As 0.886 0.386 0.114
3 As 0.386 0.114 0.886
4 As 0.614 0.614 0.614
5 P 0.887 0.113 0.613
6 P 0.113 0.613 0.887
7 P 0.613 0.887 0.113
8 P 0.387 0.387 0.387
9 Pt 0.490 0.510 0.010
10 Pt 0.510 0.010 0.490
11 Pt 0.010 0.490 0.510
12 Pt 0.990 0.990 0.990

## Properties
The relative energy among the computed polymorphs comes out at 0 meV per atom. The value obtained for the final energy is -71.5 eV for the cell shown. The size of the total moment comes out at 0.000 μB per formula unit.

=====

First-principles (PBE) data for Pu2AsPPt6 after structural relaxation, as listed in Alexandria.

Lattice parameters (Å, degrees): 5.576 8.568 8.223 90.00 90.00 90.00
Site moments in Bohr magnetons follow the coordinates.
Atoms (fractional coordinates):
1 Pu 0.500 0.740 0.255  5.19
2 Pu 0.000 0.260 0.755  5.19
3 Pu 0.500 0.740 0.745  5.19
4 Pu 0.000 0.260 0.245  5.19
5 As 0.000 0.709 0.500  -0.03
6 As 0.500 0.291 0.000  -0.03
7 P 0.500 0.256 0.500  -0.02
8 P 0.000 0.744 0.000  -0.02
9 Pt 0.500 0.130 0.246  -0.06
10 Pt 0.500 0.130 0.754  -0.06
11 Pt 0.000 0.870 0.254  -0.06
12 Pt 0.000 0.870 0.746  -0.06
13 Pt 0.247 0.010 0.500  -0.06
14 Pt 0.753 0.010 0.500  -0.06
15 Pt 0.254 0.475 0.500  -0.05
16 Pt 0.746 0.475 0.500  -0.05
17 Pt 0.754 0.525 0.000  -0.05
18 Pt 0.246 0.525 0.000  -0.05
19 Pt 0.253 0.990 0.000  -0.06
20 Pt 0.747 0.990 0.000  -0.06

## Properties
The value obtained for the final energy is -163.3 eV for the cell shown. The size of the total moment comes out at 10.402 μB per formula unit.

=====

First-principles (PBE) data for Re2AsPPt after structural relaxation, as listed in Alexandria.

Lattice parameters (Å, degrees): 4.626 4.575 4.626 90.00 90.00 90.00
Site moments in Bohr magnetons follow the coordinates.
Atoms (fractional coordinates):
1 Re 0.000 0.000 0.500  1.16
2 Re 0.500 0.000 0.000  0.95
3 As 0.000 0.000 0.000  -0.03
4 Pt 0.000 0.500 0.000  0.17
5 P 0.500 0.500 0.500  -0.06

## Properties
The value obtained for the final energy is -32.5 eV for the cell shown. The size of the total moment comes out at 2.426 μB per formula unit.